First-principles (PBE) data for a relaxed structure of Ba12As3H5, as listed in the Alexandria database.

Cell and atoms, written as CIF:
```
data_Ba12As3H5
_symmetry_space_group_name_H-M 'I a -3 d'
_symmetry_Int_Tables_number 230
_symmetry_space_group_name_Hall '-I 4bd 2c 3'
_cell_length_a 17.828
_cell_length_b 17.828
_cell_length_c 17.828
_cell_angle_alpha 90.00
_cell_angle_beta 90.00
_cell_angle_gamma 90.00
loop_
_atom_site_label
_atom_site_fract_x
_atom_site_fract_y
_atom_site_fract_z
Ba1 0.033 0.062 0.656
As1 0.000 0.250 0.125
H1 0.000 0.000 0.000
H2 0.000 0.250 0.375
```

***

First-principles (PBE) data for a relaxed structure of NaCa5Hg, as listed in the Alexandria database.

**Formation enthalpy at 0 K**: -51 meV/atom

Cell and atoms, written as CIF:
```
data_NaCa5Hg
_symmetry_space_group_name_H-M 'C 1 2/c 1'
_symmetry_Int_Tables_number 15
_cell_length_a 12.382
_cell_length_b 7.533
_cell_length_c 12.503
_cell_angle_alpha 90.00
_cell_angle_beta 108.82
_cell_angle_gamma 90.00
loop_
_symmetry_equiv_pos_as_xyz
'x,y,z'
'-x,-y,-z'
'-x,y,-z+1/2'
'x,-y,z+1/2'
'x+1/2,y+1/2,z'
'-x+1/2,-y+1/2,-z'
'-x+1/2,y+1/2,-z+1/2'
'x+1/2,-y+1/2,z+1/2'
loop_
_atom_site_label
_atom_site_fract_x
_atom_site_fract_y
_atom_site_fract_z
Na1 0.000 0.077 0.250
Ca1 0.000 0.442 0.750
Ca2 0.134 0.153 0.549
Ca3 0.224 0.333 0.135
Hg1 0.000 0.500 0.000
```

***

| no. | E_tot (eV per atom) |
| --- | --- |
| 1 | -3.18 |
| 2 | -1.71 |